# GGA-PBE ZnSnAs2Br, optimized geometry
data_ZnSnAs2Br
_chemical_formula_sum 'Zn1 Sn1 As2 Br1'
_cell_length_a 5.170
_cell_length_b 5.572
_cell_length_c 5.170
_cell_angle_alpha 90.00
_cell_angle_beta 90.00
_cell_angle_gamma 90.00
_symmetry_space_group_name_H-M 'P 1'
_symmetry_Int_Tables_number 1
loop_
_symmetry_equiv_pos_as_xyz
'x,y,z'
loop_
_atom_site_label
_atom_site_type_symbol
_atom_site_fract_x
_atom_site_fract_y
_atom_site_fract_z
Zn1 Zn 0.500 0.500 0.500
Br1 Br 0.000 0.000 0.000
As1 As 0.000 0.000 0.500
As2 As 0.500 0.000 0.000
Sn1 Sn 0.000 0.500 0.000
# Space-group type: No. 123
# ΔE_f (raw) (eV/atom): 1.004
# Uncorrected energy (eV per atom): -2.246

# GGA-PBE Tb3Er3TmTe8, optimized geometry
data_Tb3Er3TmTe8
_chemical_formula_sum 'Tb3 Er3 Tm1 Te8'
_cell_length_a 8.652
_cell_length_b 8.652
_cell_length_c 8.658
_cell_angle_alpha 119.98
_cell_angle_beta 90.00
_cell_angle_gamma 120.00
_symmetry_space_group_name_H-M 'P 1'
_symmetry_Int_Tables_number 1
loop_
_symmetry_equiv_pos_as_xyz
'x,y,z'
loop_
_atom_site_label
_atom_site_type_symbol
_atom_site_fract_x
_atom_site_fract_y
_atom_site_fract_z
Te1 Te 0.254 0.997 0.751
Te2 Te 0.254 0.507 0.751
Te3 Te 0.746 0.003 0.249
Te4 Te 0.251 0.503 0.254
Te5 Te 0.257 0.003 0.249
Te6 Te 0.743 0.997 0.751
Te7 Te 0.746 0.493 0.249
Te8 Te 0.749 0.497 0.746
Tb1 Tb 0.000 0.500 0.000
Tb2 Tb 0.000 0.000 0.000
Tb3 Tb 0.500 0.500 0.000
Er1 Er 0.500 0.500 0.500
Er2 Er 0.500 0.000 0.500
Er3 Er 0.000 0.500 0.500
Tm1 Tm 0.000 0.000 0.500
# Space-group type: No. 166
# ΔE_f (raw) (eV/atom): -1.339
# Uncorrected energy (eV per atom): -5.151

# GGA-PBE SbWAu2, optimized geometry
data_SbWAu2
_chemical_formula_sum 'Sb1 W1 Au2'
_cell_length_a 2.970
_cell_length_b 2.970
_cell_length_c 9.016
_cell_angle_alpha 90.00
_cell_angle_beta 90.00
_cell_angle_gamma 91.73
_symmetry_space_group_name_H-M 'P 1'
_symmetry_Int_Tables_number 1
loop_
_symmetry_equiv_pos_as_xyz
'x,y,z'
loop_
_atom_site_label
_atom_site_type_symbol
_atom_site_fract_x
_atom_site_fract_y
_atom_site_fract_z
W1 W 0.500 0.500 0.769
Sb1 Sb 0.000 0.000 0.536
Au1 Au 0.000 0.000 0.981
Au2 Au 0.500 0.500 0.214
# Space-group type: No. 35
# ΔE_f (raw) (eV/atom): 0.445
# Uncorrected energy (eV per atom): -5.463

# GGA-PBE Ac2GaSn4Rh3, optimized geometry
data_Ac2GaSn4Rh3
_chemical_formula_sum 'Ac2 Ga1 Sn4 Rh3'
_cell_length_a 4.684
_cell_length_b 4.684
_cell_length_c 10.748
_cell_angle_alpha 90.00
_cell_angle_beta 90.00
_cell_angle_gamma 90.00
_symmetry_space_group_name_H-M 'P 1'
_symmetry_Int_Tables_number 1
loop_
_symmetry_equiv_pos_as_xyz
'x,y,z'
loop_
_atom_site_label
_atom_site_type_symbol
_atom_site_fract_x
_atom_site_fract_y
_atom_site_fract_z
Rh1 Rh 0.000 0.000 0.500
Rh2 Rh 0.000 0.500 0.123
Rh3 Rh 0.500 0.000 0.877
Sn1 Sn 0.500 0.000 0.634
Sn2 Sn 0.000 0.500 0.366
Sn3 Sn 0.000 0.000 0.000
Sn4 Sn 0.500 0.500 0.000
Ac1 Ac 0.000 0.500 0.745
Ac2 Ac 0.500 0.000 0.255
Ga1 Ga 0.500 0.500 0.500
# Space-group type: No. 115
# Uncorrected energy (eV per atom): -5.602

# GGA-PBE InFe2Au, optimized geometry
data_InFe2Au
_chemical_formula_sum 'In1 Fe2 Au1'
_cell_length_a 4.091
_cell_length_b 3.930
_cell_length_c 3.930
_cell_angle_alpha 90.00
_cell_angle_beta 90.00
_cell_angle_gamma 90.00
_symmetry_space_group_name_H-M 'P 1'
_symmetry_Int_Tables_number 1
loop_
_symmetry_equiv_pos_as_xyz
'x,y,z'
loop_
_atom_site_label
_atom_site_type_symbol
_atom_site_fract_x
_atom_site_fract_y
_atom_site_fract_z
Fe1 Fe 0.000 0.500 0.500
Fe2 Fe 0.000 0.000 0.000
In1 In 0.500 0.500 0.000
Au1 Au 0.500 0.000 0.500
# Space-group type: No. 123
# Uncorrected energy (eV per atom): -5.581

# GGA-PBE Nd6HgRh2, optimized geometry
data_Nd6HgRh2
_chemical_formula_sum 'Nd6 Hg1 Rh2'
_cell_length_a 5.212
_cell_length_b 5.817
_cell_length_c 9.313
_cell_angle_alpha 80.34
_cell_angle_beta 90.00
_cell_angle_gamma 116.62
_symmetry_space_group_name_H-M 'P 1'
_symmetry_Int_Tables_number 1
loop_
_symmetry_equiv_pos_as_xyz
'x,y,z'
loop_
_atom_site_label
_atom_site_type_symbol
_atom_site_fract_x
_atom_site_fract_y
_atom_site_fract_z
Rh1 Rh 0.622 0.244 0.900
Rh2 Rh 0.378 0.756 0.100
Hg1 Hg 0.000 0.000 0.500
Nd1 Nd 0.037 0.073 0.155
Nd2 Nd 0.963 0.927 0.845
Nd3 Nd 0.709 0.418 0.167
Nd4 Nd 0.659 0.318 0.608
Nd5 Nd 0.291 0.582 0.833
Nd6 Nd 0.341 0.682 0.392
# Space-group type: No. 12
# Uncorrected energy (eV per atom): -5.236

# GGA-PBE LiMnRh, optimized geometry
data_LiMnRh
_chemical_formula_sum 'Li1 Mn1 Rh1'
_cell_length_a 4.021
_cell_length_b 4.021
_cell_length_c 2.582
_cell_angle_alpha 90.00
_cell_angle_beta 90.00
_cell_angle_gamma 120.00
_symmetry_space_group_name_H-M 'P 1'
_symmetry_Int_Tables_number 1
loop_
_symmetry_equiv_pos_as_xyz
'x,y,z'
loop_
_atom_site_label
_atom_site_type_symbol
_atom_site_fract_x
_atom_site_fract_y
_atom_site_fract_z
Mn1 Mn 0.667 0.333 0.325
Li1 Li 0.000 0.000 0.012
Rh1 Rh 0.333 0.667 0.664
# Space-group type: No. 156
# Uncorrected energy (eV per atom): -5.985

# GGA-PBE LaOs2Ru, optimized geometry
data_LaOs2Ru
_chemical_formula_sum 'La1 Os2 Ru1'
_cell_length_a 2.821
_cell_length_b 3.751
_cell_length_c 6.942
_cell_angle_alpha 90.00
_cell_angle_beta 90.00
_cell_angle_gamma 90.00
_symmetry_space_group_name_H-M 'P 1'
_symmetry_Int_Tables_number 1
loop_
_symmetry_equiv_pos_as_xyz
'x,y,z'
loop_
_atom_site_label
_atom_site_type_symbol
_atom_site_fract_x
_atom_site_fract_y
_atom_site_fract_z
Ru1 Ru 0.000 0.000 0.439
La1 La 0.500 0.500 0.747
Os1 Os 0.000 0.000 0.068
Os2 Os 0.500 0.500 0.245
# Space-group type: No. 25
# Uncorrected energy (eV per atom): -8.830

# GGA-PBE Tb2SbN, optimized geometry
data_Tb2SbN
_chemical_formula_sum 'Tb4 Sb2 N2'
_cell_length_a 4.545
_cell_length_b 4.545
_cell_length_c 8.987
_cell_angle_alpha 90.01
_cell_angle_beta 90.01
_cell_angle_gamma 90.00
_symmetry_space_group_name_H-M 'P 1'
_symmetry_Int_Tables_number 1
loop_
_symmetry_equiv_pos_as_xyz
'x,y,z'
loop_
_atom_site_label
_atom_site_type_symbol
_atom_site_fract_x
_atom_site_fract_y
_atom_site_fract_z
N1 N 0.750 0.750 0.580
N2 N 0.250 0.250 0.420
Tb1 Tb 0.250 0.250 0.174
Tb2 Tb 0.750 0.750 0.826
Tb3 Tb 0.250 0.750 0.500
Tb4 Tb 0.750 0.250 0.500
Sb1 Sb 0.250 0.250 0.809
Sb2 Sb 0.750 0.750 0.191
# Space-group type: No. 129
# ΔE_f (raw) (eV/atom): -1.366
# Uncorrected energy (eV per atom): -6.793

# GGA-PBE MoRu6Pt2W2, optimized geometry
data_MoRu6Pt2W2
_chemical_formula_sum 'Mo1 Ru6 Pt2 W2'
_cell_length_a 5.794
_cell_length_b 7.211
_cell_length_c 7.674
_cell_angle_alpha 138.18
_cell_angle_beta 90.00
_cell_angle_gamma 113.69
_symmetry_space_group_name_H-M 'P 1'
_symmetry_Int_Tables_number 1
loop_
_symmetry_equiv_pos_as_xyz
'x,y,z'
loop_
_atom_site_label
_atom_site_type_symbol
_atom_site_fract_x
_atom_site_fract_y
_atom_site_fract_z
Ru1 Ru 0.565 0.129 0.259
Ru2 Ru 0.400 0.376 0.183
Ru3 Ru 0.600 0.624 0.817
Ru4 Ru 0.435 0.871 0.741
Ru5 Ru 0.024 0.624 0.817
Ru6 Ru 0.976 0.376 0.183
W1 W 0.802 0.604 0.130
W2 W 0.198 0.396 0.870
Pt1 Pt 0.089 0.179 0.355
Pt2 Pt 0.911 0.821 0.645
Mo1 Mo 0.500 0.000 0.500
# Space-group type: No. 12
# Uncorrected energy (eV per atom): -9.273

Question: Among the records above, which one has the lowest uncorrected energy?
Answer: MoRu6Pt2W2